(1)
Computed, not measured: a relaxed structure of Ba12Tl3Cu5 at the PBE level of DFT.

abc: 17.068 17.068 17.068
angles: 109.47 109.47 109.47
Atoms (fractional coordinates):
Cu  0.125  0.750  0.375
Ba  0.041  0.413  0.824
Ba  0.541  0.216  0.127
Ba  0.959  0.587  0.176
Tl  0.875  0.125  0.250
Ba  0.676  0.216  0.589
Ba  0.373  0.959  0.784
Cu  0.750  0.125  0.875
Ba  0.413  0.041  0.324
Tl  0.750  0.375  0.125
Ba  0.541  0.324  0.913
Ba  0.716  0.589  0.176
Cu  0.500  0.500  0.000
Tl  0.375  0.750  0.625
Ba  0.824  0.911  0.284
Ba  0.087  0.911  0.127
Cu  0.000  0.500  0.500
Tl  0.750  0.875  0.625
Cu  0.625  0.875  0.250
Cu  0.500  0.000  0.000
Ba  0.911  0.087  0.627
Ba  0.716  0.127  0.041
Ba  0.216  0.541  0.627
Cu  0.250  0.875  0.125
Ba  0.587  0.959  0.676
Tl  0.625  0.250  0.375
Ba  0.587  0.627  0.411
Tl  0.875  0.750  0.125
Ba  0.324  0.784  0.411
Cu  0.750  0.625  0.375
Ba  0.913  0.089  0.873
Ba  0.373  0.413  0.089
Tl  0.375  0.625  0.250
Ba  0.589  0.873  0.413
Ba  0.784  0.324  0.911
Ba  0.784  0.459  0.373
Ba  0.589  0.716  0.676
Ba  0.411  0.127  0.587
Tl  0.125  0.875  0.750
Cu  0.125  0.375  0.250
Ba  0.911  0.824  0.784
Ba  0.127  0.716  0.541
Ba  0.087  0.176  0.459
Ba  0.627  0.041  0.216
Ba  0.089  0.176  0.216
Ba  0.284  0.873  0.959
Ba  0.459  0.676  0.087
Cu  0.500  0.000  0.500
Cu  0.875  0.625  0.750
Ba  0.176  0.089  0.716
Tl  0.125  0.250  0.875
Tl  0.625  0.375  0.750
Ba  0.324  0.541  0.413
Ba  0.089  0.913  0.373
Ba  0.676  0.459  0.587
Ba  0.873  0.589  0.913
Cu  0.000  0.000  0.500
Ba  0.627  0.587  0.911
Ba  0.216  0.676  0.089
Cu  0.500  0.500  0.500
Ba  0.413  0.373  0.589
Cu  0.000  0.500  0.000
Ba  0.824  0.913  0.041
Ba  0.176  0.087  0.959
Ba  0.459  0.784  0.873
Ba  0.913  0.824  0.541
Ba  0.127  0.411  0.087
Cu  0.250  0.375  0.625
Ba  0.284  0.411  0.824
Tl  0.250  0.125  0.375
Tl  0.250  0.625  0.875
Ba  0.411  0.284  0.324
Ba  0.873  0.284  0.459
Cu  0.875  0.250  0.625
Cu  0.625  0.750  0.875
Ba  0.041  0.627  0.716
Cu  0.000  0.000  0.000
Cu  0.375  0.250  0.125
Ba  0.959  0.373  0.284
Cu  0.375  0.125  0.750

Computed properties:
Spin magnetization, μB/f.u.: 0.00
SG: No. 230
Mass density, g cm⁻³: 4.48
Total energy, eV/cell: -199.70
Energy of formation from the pure elements, eV per atom: 0.036

(2)
Computed, not measured: a relaxed structure of BaTlCu at the PBE level of DFT.

abc: 4.871 4.871 4.526
angles: 90.00 90.00 120.00
Atoms (fractional coordinates):
Tl  0.333  0.667  0.500
Cu  0.667  0.333  0.500
Ba  0.000  0.000  0.000

Computed properties:
Spin magnetization, μB/f.u.: 0.00
SG: No. 187
Mass density, g cm⁻³: 7.24
Total energy, eV/cell: -8.81
Energy of formation from the pure elements, eV per atom: -0.143

(3)
Computed, not measured: a relaxed structure of BaTlCu at the PBE level of DFT.

abc: 5.185 5.185 5.185
angles: 60.00 60.00 60.00
Atoms (fractional coordinates):
Cu  0.750  0.750  0.750
Ba  0.500  0.500  0.500
Tl  0.000  0.000  0.000

Computed properties:
Spin magnetization, μB/f.u.: 0.00
SG: No. 216
Mass density, g cm⁻³: 6.83
Total energy, eV/cell: -8.37
Energy of formation from the pure elements, eV per atom: 0.006

(4)
Computed, not measured: a relaxed structure of Ba3TlCu at the PBE level of DFT.

abc: 4.524 9.882 10.080
angles: 85.69 90.03 103.21
Atoms (fractional coordinates):
Cu  0.794  0.619  0.747
Ba  0.973  0.980  0.033
Ba  0.071  0.176  0.390
Ba  0.630  0.291  0.762
Cu  0.251  0.533  0.672
Ba  0.783  0.597  0.411
Ba  0.261  0.557  0.009
Ba  0.414  0.862  0.660
Tl  0.620  0.274  0.127
Tl  0.424  0.882  0.296

Computed properties:
Spin magnetization, μB/f.u.: 0.00
SG: No. 1
Distance to the lowest polymorph of the same formula, eV/atom: 0.000
Mass density, g cm⁻³: 5.16
Total energy, eV/cell: -26.04
Energy of formation from the pure elements, eV per atom: -0.158

(5)
Computed, not measured: a relaxed structure of BaTlCu at the PBE level of DFT.

abc: 6.548 6.547 3.838
angles: 72.97 72.94 34.09
Atoms (fractional coordinates):
Tl  0.295  0.295  0.705
Ba  0.006  0.006  0.994
Cu  0.699  0.699  0.301

Computed properties:
Spin magnetization, μB/f.u.: 0.00
SG: No. 107
Mass density, g cm⁻³: 7.67
Total energy, eV/cell: -8.42
Energy of formation from the pure elements, eV per atom: -0.011

(6)
Computed, not measured: a relaxed structure of BaTmCu10 at the PBE level of DFT.

abc: 4.039 5.230 9.092
angles: 90.00 90.00 90.00
Atoms (fractional coordinates):
Cu  0.000  0.500  0.154
Cu  0.500  0.239  0.769
Cu  0.500  0.500  0.000
Cu  0.500  0.239  0.231
Cu  0.000  0.500  0.846
Cu  0.500  0.000  0.500
Tm  0.000  0.000  0.000
Cu  0.500  0.761  0.769
Cu  0.000  0.000  0.315
Cu  0.000  0.000  0.685
Ba  0.000  0.500  0.500
Cu  0.500  0.761  0.231

Computed properties:
Spin magnetization, μB/f.u.: 0.00
SG: No. 47
Mass density, g cm⁻³: 8.14
Total energy, eV/cell: -48.35
Energy of formation from the pure elements, eV per atom: -0.083

(7)
Computed, not measured: a relaxed structure of BaVCu3 at the PBE level of DFT.

abc: 5.357 5.357 5.357
angles: 90.00 90.00 90.00
Each line ends with the local moment (μB).
Atoms (fractional coordinates):
Ba  0.000  0.000  0.000  -0.04
Cu  0.000  0.000  0.500  -0.02
V  0.500  0.500  0.500  3.04
Cu  0.000  0.500  0.000  -0.02
Cu  0.500  0.000  0.000  -0.02

Computed properties:
Spin magnetization, μB/f.u.: 3.61
SG: No. 221
Distance to the lowest polymorph of the same formula, eV/atom: 1.245
Mass density, g cm⁻³: 4.09
Total energy, eV/cell: -14.33
Energy of formation from the pure elements, eV per atom: 1.801

(8)
Computed, not measured: a relaxed structure of BaV3Cu at the PBE level of DFT.

abc: 4.902 4.902 4.902
angles: 90.00 90.00 90.00
Each line ends with the local moment (μB).
Atoms (fractional coordinates):
Cu  0.000  0.000  0.000  0.20
Ba  0.500  0.500  0.500  0.23
V  0.000  0.500  0.000  2.48
V  0.000  0.000  0.500  2.48
V  0.500  0.000  0.000  2.48

Computed properties:
Spin magnetization, μB/f.u.: 9.83
SG: No. 221
Distance to the lowest polymorph of the same formula, eV/atom: 0.000
Mass density, g cm⁻³: 4.99
Total energy, eV/cell: -27.61
Energy of formation from the pure elements, eV per atom: 1.154

(9)
Computed, not measured: a relaxed structure of BaV3Cu at the PBE level of DFT.

abc: 4.743 4.743 4.743
angles: 90.00 90.00 90.00
Atoms (fractional coordinates):
V  0.000  0.500  0.000
Ba  0.000  0.000  0.000
V  0.500  0.000  0.000
Cu  0.500  0.500  0.500
V  0.000  0.000  0.500

Computed properties:
Spin magnetization, μB/f.u.: 0.00
SG: No. 221
Distance to the lowest polymorph of the same formula, eV/atom: 1.380
Mass density, g cm⁻³: 5.51
Total energy, eV/cell: -20.71
Energy of formation from the pure elements, eV per atom: 2.534

(10)
Computed, not measured: a relaxed structure of BaVCu3 at the PBE level of DFT.

abc: 4.881 4.881 4.881
angles: 90.00 90.00 90.00
Each line ends with the local moment (μB).
Atoms (fractional coordinates):
Ba  0.500  0.500  0.500  0.01
Cu  0.000  0.000  0.500  0.06
Cu  0.000  0.500  0.000  0.06
V  0.000  0.000  0.000  2.26
Cu  0.500  0.000  0.000  0.06

Computed properties:
Spin magnetization, μB/f.u.: 3.06
SG: No. 221
Distance to the lowest polymorph of the same formula, eV/atom: 0.000
Mass density, g cm⁻³: 5.41
Total energy, eV/cell: -20.55
Energy of formation from the pure elements, eV per atom: 0.556

(11)
Computed, not measured: a relaxed structure of BaV2ZnCu at the PBE level of DFT.

abc: 5.198 5.502 5.198
angles: 90.00 90.00 90.00
Each line ends with the local moment (μB).
Atoms (fractional coordinates):
Ba  0.000  0.000  0.000  0.16
V  0.500  0.000  0.000  2.59
V  0.000  0.000  0.500  2.29
Cu  0.500  0.500  0.500  -0.01
Zn  0.000  0.500  0.000  -0.01

Computed properties:
Spin magnetization, μB/f.u.: 5.82
SG: No. 123
Mass density, g cm⁻³: 4.11
Total energy, eV/cell: -13.81
Energy of formation from the pure elements, eV per atom: 2.344

(12)
Computed, not measured: a relaxed structure of Ba2CuW at the PBE level of DFT.

abc: 3.526 3.526 9.626
angles: 90.00 90.00 90.00
Each line ends with the local moment (μB).
Atoms (fractional coordinates):
Ba  0.500  0.500  0.338  0.00
Cu  0.000  0.000  0.579  0.02
Ba  0.000  0.000  0.919  0.00
W  0.500  0.500  0.663  0.15

Computed properties:
Spin magnetization, μB/f.u.: 0.19
SG: No. 99
Distance to the lowest polymorph of the same formula, eV/atom: 0.000
Mass density, g cm⁻³: 7.24
Total energy, eV/cell: -17.63
Energy of formation from the pure elements, eV per atom: 0.816

(13)
Computed, not measured: a relaxed structure of BaCuW2 at the PBE level of DFT.

abc: 2.994 4.838 7.399
angles: 49.22 90.00 90.00
Atoms (fractional coordinates):
Cu  0.000  0.000  0.500
W  0.500  0.500  0.000
Ba  0.500  0.500  0.500
W  0.000  0.000  0.000

Computed properties:
Spin magnetization, μB/f.u.: 0.00
SG: No. 10
Distance to the lowest polymorph of the same formula, eV/atom: 0.601
Mass density, g cm⁻³: 11.63
Total energy, eV/cell: -26.81
Energy of formation from the pure elements, eV per atom: 1.278

(14)
Computed, not measured: a relaxed structure of BaCuW2 at the PBE level of DFT.

abc: 4.707 4.707 4.707
angles: 60.00 60.00 60.00
Atoms (fractional coordinates):
W  0.250  0.250  0.250
Ba  0.500  0.500  0.500
W  0.750  0.750  0.750
Cu  0.000  0.000  0.000

Computed properties:
Spin magnetization, μB/f.u.: 0.00
SG: No. 225
Distance to the lowest polymorph of the same formula, eV/atom: 1.161
Mass density, g cm⁻³: 12.80
Total energy, eV/cell: -24.57
Energy of formation from the pure elements, eV per atom: 1.838

(15)
Computed, not measured: a relaxed structure of Ba2CuW at the PBE level of DFT.

abc: 5.922 5.921 3.289
angles: 90.00 90.00 90.00
Atoms (fractional coordinates):
Cu  0.500  0.000  0.500
W  0.000  0.500  0.500
Ba  0.000  0.000  0.000
Ba  0.500  0.500  0.000

Computed properties:
Spin magnetization, μB/f.u.: 0.00
SG: No. 123
Distance to the lowest polymorph of the same formula, eV/atom: 0.288
Mass density, g cm⁻³: 7.52
Total energy, eV/cell: -16.48
Energy of formation from the pure elements, eV per atom: 1.104

(16)
Computed, not measured: a relaxed structure of BaCuW2 at the PBE level of DFT.

abc: 4.532 4.532 6.967
angles: 81.01 81.01 41.21
Atoms (fractional coordinates):
Cu  0.732  0.732  0.847
W  0.277  0.277  0.146
Ba  0.488  0.488  0.507
W  0.003  0.003  0.001

Computed properties:
Spin magnetization, μB/f.u.: 0.00
SG: No. 8
Distance to the lowest polymorph of the same formula, eV/atom: 0.214
Mass density, g cm⁻³: 10.16
Total energy, eV/cell: -28.36
Energy of formation from the pure elements, eV per atom: 0.891

(17)
Computed, not measured: a relaxed structure of BaCu2W at the PBE level of DFT.

abc: 9.244 9.244 9.244
angles: 19.94 19.94 19.94
Atoms (fractional coordinates):
Cu  0.518  0.518  0.518
Cu  0.982  0.982  0.982
Ba  0.750  0.750  0.750
W  0.250  0.250  0.250

Computed properties:
Spin magnetization, μB/f.u.: 0.00
SG: No. 166
Distance to the lowest polymorph of the same formula, eV/atom: 0.391
Mass density, g cm⁻³: 9.26
Total energy, eV/cell: -19.26
Energy of formation from the pure elements, eV per atom: 0.952

(18)
Computed, not measured: a relaxed structure of BaCuW3 at the PBE level of DFT.

abc: 4.779 4.779 4.779
angles: 90.00 90.00 90.00
Atoms (fractional coordinates):
Cu  0.000  0.000  0.000
W  0.500  0.000  0.000
W  0.000  0.000  0.500
Ba  0.500  0.500  0.500
W  0.000  0.500  0.000

Computed properties:
Spin magnetization, μB/f.u.: 0.00
SG: No. 221
Distance to the lowest polymorph of the same formula, eV/atom: 0.000
Mass density, g cm⁻³: 11.45
Total energy, eV/cell: -34.38
Energy of formation from the pure elements, eV per atom: 2.101

(19)
Computed, not measured: a relaxed structure of BaCu2W at the PBE level of DFT.

abc: 3.091 3.091 8.105
angles: 90.00 90.00 90.00
Atoms (fractional coordinates):
W  0.000  0.000  0.421
Ba  0.500  0.500  0.763
Cu  0.500  0.500  0.234
Cu  0.000  0.000  0.082

Computed properties:
Spin magnetization, μB/f.u.: 0.00
SG: No. 99
Distance to the lowest polymorph of the same formula, eV/atom: 0.191
Mass density, g cm⁻³: 9.62
Total energy, eV/cell: -20.06
Energy of formation from the pure elements, eV per atom: 0.753

(20)
Computed, not measured: a relaxed structure of BaCuW2 at the PBE level of DFT.

abc: 4.810 4.810 4.810
angles: 120.00 120.00 90.00
Each line ends with the local moment (μB).
Atoms (fractional coordinates):
W  0.250  0.750  0.500  -0.12
Ba  0.500  0.500  0.000  0.02
W  0.000  0.000  0.000  0.46
Cu  0.750  0.250  0.500  0.01

Computed properties:
Spin magnetization, μB/f.u.: 0.48
SG: No. 216
Distance to the lowest polymorph of the same formula, eV/atom: 0.632
Mass density, g cm⁻³: 12.00
Total energy, eV/cell: -26.69
Energy of formation from the pure elements, eV per atom: 1.309